# 1
The following is a PBE calculation of a geometry-optimized LaBeAu4 structure, from Alexandria.

Cell: 6.001 6.001 7.937 Å, 72.23 72.23 63.18°
Positions (direct):
Be: 0.539 0.539 0.199
Be: 0.461 0.461 0.801
La: 0.795 0.795 0.797
La: 0.205 0.205 0.203
Au: 0.657 0.150 0.407
Au: 0.850 0.343 0.593
Au: 0.751 0.751 0.229
Au: 0.249 0.249 0.771
Au: 0.150 0.657 0.407
Au: 0.758 0.242 0.000
Au: 0.343 0.850 0.593
Au: 0.242 0.758 0.000

Symmetry = C2/m (12)
Calculated volume = 19.85 Å³ per atom

=====

# 2
The following is a PBE calculation of a geometry-optimized LaBeAu structure, from Alexandria.

Cell: 4.380 4.580 7.577 Å, 72.41 90.00 90.00°
Positions (direct):
La: 0.750 0.641 0.719
La: 0.250 0.359 0.281
Au: 0.250 0.141 0.719
Au: 0.750 0.859 0.281
Be: 0.500 0.000 0.000
Be: 0.000 0.000 0.000

Symmetry = Cmcm (63)
Calculated volume = 24.15 Å³ per atom

=====

# 3
The following is a PBE calculation of a geometry-optimized LaBe4Au8 structure, from Alexandria.

Cell: 5.269 6.892 6.892 Å, 81.60 67.53 67.53°
Positions (direct):
Au: 0.723 0.777 0.777
Au: 0.500 0.777 0.223
Au: 0.277 0.223 0.223
Au: 0.333 0.667 0.667
Au: 0.000 0.667 0.333
Au: 0.000 0.333 0.667
Au: 0.667 0.333 0.333
Au: 0.500 0.223 0.777
Be: 0.500 0.500 0.000
Be: 0.000 0.500 0.000
Be: 0.500 0.000 0.500
Be: 0.000 0.000 0.500
La: 0.000 0.000 0.000

Symmetry = I4/mmm (139)
Calculated volume = 16.44 Å³ per atom

=====

Number 1: calculated total energy -49.4 eV per cell. Number 2: calculated total energy -25.5 eV per cell. Number 3: calculated total energy -49.4 eV per cell.